VASP calculation (GGA-PBEsol) on an optimized crystal structure of CuAgF2.

a = 2.9275 Å, b = 2.9275 Å, c = 21.3448 Å
α = 90.00°, β = 90.00°, γ = 120.00°
With the nearest neighbours (Å) after each atom.
Space group R-3m (No. 166, hexagonal axes)
One atom of each set of equivalent atoms:
Cu: 0.0000 0.0000 0.0000 [3 per cell]  2 F 1.82
Ag: 0.0000 0.0000 0.5000 [3 per cell]  6 F 2.43
F: 0.0000 0.0000 0.0851 [6 per cell]  1 Cu 1.82

- formation energy without anion corrections (eV/atom) = -0.90
- D(E_F) (states/eV per cell) = 5.02
- energy (eV/cell) = -45.34
- total magnetic moment (μB per cell) = 0.0



VASP calculation (GGA-PBEsol) on an optimized crystal structure of CoS2NF.

a = 4.2081 Å, b = 4.2081 Å, c = 3.7658 Å
α = 90.00°, β = 90.00°, γ = 90.00°
With the nearest neighbours (Å) after each atom.
Space group P4/mmm (No. 123)
One atom of each set of equivalent atoms:
Co: 0.0000 0.0000 0.0000 [1 per cell]  8 S 2.82, 4 N 2.98
S: 0.0000 0.5000 0.5000 [2 per cell]  2 F 2.10
N: 0.5000 0.5000 0.0000 [1 per cell]  2 F 1.88
F: 0.5000 0.5000 0.5000 [1 per cell]  2 N 1.88, 4 S 2.10

- formation energy without anion corrections (eV/atom) = 1.67
- D(E_F) (states/eV per cell) = 5.32
- energy (eV/cell) = -18.61
- total magnetic moment (μB per cell) = 3.7



VASP calculation (GGA-PBEsol) on an optimized crystal structure of Si2Ir2Br.

a = 4.0779 Å, b = 4.0779 Å, c = 9.8952 Å
α = 90.00°, β = 90.00°, γ = 90.00°
With the nearest neighbours (Å) after each atom.
Space group I4/mmm (No. 139)
One atom of each set of equivalent atoms:
Si: 0.0000 0.0000 0.1227 [4 per cell]  4 Ir 2.40, 1 Si 2.43
Ir: 0.0000 0.5000 0.2500 [4 per cell]  4 Si 2.40
Br: 0.0000 0.0000 0.5000 [2 per cell]  8 Si 3.13, 8 Ir 3.21

- formation energy without anion corrections (eV/atom) = -0.19
- D(E_F) (states/eV per cell) = 3.67
- energy (eV/cell) = -67.90
- total magnetic moment (μB per cell) = 0.0



VASP calculation (GGA-PBEsol) on an optimized crystal structure of Ba2FeCl.

a = 5.6184 Å, b = 5.6184 Å, c = 3.5494 Å
α = 90.00°, β = 90.00°, γ = 90.00°
With the nearest neighbours (Å) after each atom.
Space group P4/mmm (No. 123)
One atom of each set of equivalent atoms:
Ba: 0.0000 0.5000 0.0000 [2 per cell]  4 Cl 3.32, 4 Fe 3.32, 2 Ba 3.55
Fe: 0.0000 0.0000 0.5000 [1 per cell]  8 Ba 3.32, 2 Fe 3.55
Cl: 0.5000 0.5000 0.5000 [1 per cell]  8 Ba 3.32, 2 Cl 3.55

- formation energy without anion corrections (eV/atom) = -0.32
- D(E_F) (states/eV per cell) = 4.73
- energy (eV/cell) = -16.56
- total magnetic moment (μB per cell) = 1.8



VASP calculation (GGA-PBEsol) on an optimized crystal structure of K6Co2O7.

a = 6.5251 Å, b = 9.0370 Å, c = 10.9961 Å
α = 90.00°, β = 123.83°, γ = 90.00°
With the nearest neighbours (Å) after each atom.
Space group P2_1/c (No. 14)
One atom of each set of equivalent atoms:
K: 0.0715 0.1512 0.4342 [4 per cell]  5 O 2.69-2.98
K: 0.1933 0.5268 0.4392 [4 per cell]  4 O 2.59-2.64
K: 0.4245 0.2004 0.2886 [4 per cell]  5 O 2.68-2.90
Co: 0.3082 0.6448 0.8625 [4 per cell]  4 O 1.78-1.86
O: 0.0287 0.6684 0.8549 [4 per cell]  1 Co 1.79
O: 0.2446 0.5970 0.6877 [4 per cell]  1 Co 1.78
O: 0.4970 0.1961 0.0711 [4 per cell]  1 Co 1.78
O: 0.5000 0.0000 0.5000 [2 per cell]  2 Co 1.86

- formation energy without anion corrections (eV/atom) = -1.25
- D(E_F) (states/eV per cell) = 4.35
- energy (eV/cell) = -155.51
- total magnetic moment (μB per cell) = 20.2



VASP calculation (GGA-PBEsol) on an optimized crystal structure of CuRu2W.

a = 8.9599 Å, b = 2.7068 Å, c = 4.5613 Å
α = 90.00°, β = 100.09°, γ = 90.00°
With the nearest neighbours (Å) after each atom.
Space group Cm (No. 8)
One atom of each set of equivalent atoms:
Cu: 0.0000 0.0000 0.0000 [2 per cell]  7 Ru 2.64-2.71, 3 W 2.68-2.71, 2 Cu 2.71
Ru: 0.0076 0.5000 0.5064 [2 per cell]  5 Ru 2.62-2.75, 4 Cu 2.64-2.67, 3 W 2.64-2.74
Ru: 0.2476 0.0000 0.7506 [2 per cell]  5 Ru 2.62-2.75, 4 W 2.64-2.66, 3 Cu 2.66-2.71
W: 0.2517 0.5000 0.2542 [2 per cell]  7 Ru 2.64-2.74, 3 Cu 2.68-2.71, 2 W 2.71

- D(E_F) (states/eV per cell) = 7.38
- energy of formation from the pure elements (meV per atom) = 234
- energy (eV/cell) = -75.10
- total magnetic moment (μB per cell) = 0.0



VASP calculation (GGA-PBEsol) on an optimized crystal structure of KMg2Sn2.

a = 4.8395 Å, b = 4.8395 Å, c = 12.2719 Å
α = 90.00°, β = 90.00°, γ = 90.00°
With the nearest neighbours (Å) after each atom.
Space group I4/mmm (No. 139)
One atom of each set of equivalent atoms:
K: 0.0000 0.0000 0.0000 [2 per cell]  8 Sn 3.70, 8 Mg 3.91
Mg: 0.0000 0.5000 0.2500 [4 per cell]  4 Sn 2.93
Sn: 0.0000 0.0000 0.3849 [4 per cell]  1 Sn 2.82, 4 Mg 2.93

- D(E_F) (states/eV per cell) = 2.94
- energy of formation from the pure elements (meV per atom) = -246
- energy (eV/cell) = -28.64
- total magnetic moment (μB per cell) = 0.0



VASP calculation (GGA-PBEsol) on an optimized crystal structure of NaPd3O4.

a = 5.6422 Å, b = 5.6422 Å, c = 5.6422 Å
α = 90.00°, β = 90.00°, γ = 90.00°
With the nearest neighbours (Å) after each atom.
Space group Pm-3n (No. 223)
One atom of each set of equivalent atoms:
Na: 0.0000 0.0000 0.0000 [2 per cell]  8 O 2.44
Pd: 0.0000 0.2500 0.5000 [6 per cell]  4 O 1.99
O: 0.2500 0.2500 0.2500 [8 per cell]  3 Pd 1.99

- formation energy without anion corrections (eV/atom) = -0.79
- D(E_F) (states/eV per cell) = 8.28
- energy (eV/cell) = -93.21
- total magnetic moment (μB per cell) = 0.0